(1)
# CsInHg2S meta-GGA SCAN PBEsol geometry
# Formation energy (no corrections) ... 0.6 eV per formula unit
# E ... -216.55 eV/cell
data_CsInHg2S
_space_group_name_H-M_alt 'P 4/m m m'
_space_group_IT_number 123
_space_group_name_Hall '-P 4 2'
_cell_length_a 5.285
_cell_length_b 5.285
_cell_length_c 6.231
_cell_angle_alpha 90.00
_cell_angle_beta 90.00
_cell_angle_gamma 90.00
loop_
_atom_site_label
_atom_site_fract_x
_atom_site_fract_y
_atom_site_fract_z
_atom_site_occupancy
Cs1 0.000 0.000 0.000 1
In1 0.500 0.500 0.000 1
Hg1 0.000 0.500 0.500 1
S1 0.000 0.000 0.500 1

---

(2)
# TcMo2Cl meta-GGA SCAN PBEsol geometry
# Energy above the most stable polymorph in this dataset ... 16.36 kcal/mol of atoms
# Formation energy (no corrections) ... 4.1 eV per formula unit
# E ... -217.50 eV/cell
data_TcMo2Cl
_space_group_name_H-M_alt 'I -4 m 2'
_space_group_IT_number 119
_space_group_name_Hall 'I -4 -2'
_cell_length_a 3.611
_cell_length_b 3.611
_cell_length_c 9.014
_cell_angle_alpha 90.00
_cell_angle_beta 90.00
_cell_angle_gamma 90.00
loop_
_atom_site_label
_atom_site_fract_x
_atom_site_fract_y
_atom_site_fract_z
_atom_site_occupancy
Tc1 0.000 0.000 0.000 1
Mo1 0.000 0.000 0.500 1
Mo2 0.000 0.500 0.750 1
Cl1 0.000 0.500 0.250 1

---

(3)
# Li2RhAu meta-GGA SCAN PBEsol geometry
# Formation enthalpy at 0 K ... -0.319 eV per atom
# E ... -326.95 eV/cell
data_Li2RhAu
_space_group_name_H-M_alt 'R -3 m'
_space_group_IT_number 166
_space_group_name_Hall '-R 3 2"'
_cell_length_a 2.7470
_cell_length_b 2.7470
_cell_length_c 25.7932
_cell_angle_alpha 90.00
_cell_angle_beta 90.00
_cell_angle_gamma 120.00
loop_
_atom_site_label
_atom_site_fract_x
_atom_site_fract_y
_atom_site_fract_z
_atom_site_occupancy
Li1 0.0000 0.0000 0.2460 1
Rh1 0.0000 0.0000 0.5000 1
Au1 0.0000 0.0000 0.0000 1